1.
DFT (PBE) results for crystalline TbTh3S4 at its relaxed geometry.

a b c (Å): 6.940 8.170 6.883
angles (deg): 90.00 110.29 90.00
Space group P2/c (No. 13)
One atom of each set of equivalent atoms:
Tb1 0.000 0.124 0.250 (multiplicity 2)
Th1 0.000 0.375 0.750 (multiplicity 2)
Th2 0.500 0.125 0.750 (multiplicity 2)
Th3 0.500 0.376 0.250 (multiplicity 2)
S1 0.242 0.121 0.000 (multiplicity 4)
S2 0.245 0.370 0.495 (multiplicity 4)

2.
DFT (PBE) results for crystalline TbTh2S5 at its relaxed geometry.

a b c (Å): 7.745 12.069 3.957
angles (deg): 90.00 90.00 90.00
Space group Pbam (No. 55)
One atom of each set of equivalent atoms:
Tb1 0.000 0.000 0.000 (multiplicity 2)
Th1 0.019 0.323 0.500 (multiplicity 4)
S1 0.000 0.500 0.000 (multiplicity 2)
S2 0.167 0.106 0.500 (multiplicity 4)
S3 0.185 0.803 0.000 (multiplicity 4)

3.
DFT (PBE) results for crystalline TbTh5S6 at its relaxed geometry.

a b c (Å): 6.985 12.121 6.938
angles (deg): 90.00 109.68 90.00
Space group C2/m (No. 12)
One atom of each set of equivalent atoms:
Tb1 0.000 0.000 0.000 (multiplicity 2)
Th1 0.000 0.169 0.500 (multiplicity 4)
Th2 0.000 0.333 0.000 (multiplicity 4)
Th3 0.000 0.500 0.500 (multiplicity 2)
S1 0.244 0.000 0.752 (multiplicity 4)
S2 0.244 0.163 0.244 (multiplicity 8)

4.
DFT (PBE) results for crystalline Tb2ThS4 at its relaxed geometry.

a b c (Å): 3.895 13.037 13.054
angles (deg): 90.00 90.00 90.00
Space group Cmcm (No. 63)
One atom of each set of equivalent atoms:
Tb1 0.000 0.134 0.067 (multiplicity 8)
Th1 0.000 0.375 0.250 (multiplicity 4)
S1 0.000 0.031 0.250 (multiplicity 4)
S2 0.000 0.227 0.624 (multiplicity 8)
S3 0.000 0.500 0.000 (multiplicity 4)

5.
DFT (PBE) results for crystalline Tb3ThS4 at its relaxed geometry.

a b c (Å): 5.606 5.606 5.606
angles (deg): 90.00 90.00 90.00
Space group Pm-3m (No. 221)
One atom of each set of equivalent atoms:
Tb1 0.000 0.000 0.500 (multiplicity 3)
Th1 0.500 0.500 0.500 (multiplicity 1)
S1 0.000 0.000 0.000 (multiplicity 1)
S2 0.000 0.500 0.500 (multiplicity 3)

6.
DFT (PBE) results for crystalline Tb4Th3S8 at its relaxed geometry.

a b c (Å): 11.230 11.238 7.938
angles (deg): 90.00 134.88 90.00
Space group C2/m (No. 12)
One atom of each set of equivalent atoms:
Tb1 0.000 0.000 0.000 (multiplicity 2)
Tb2 0.000 0.000 0.500 (multiplicity 2)
Tb3 0.250 0.250 0.000 (multiplicity 4)
Th1 0.000 0.500 0.000 (multiplicity 2)
Th2 0.250 0.250 0.500 (multiplicity 4)
S1 0.000 0.246 0.000 (multiplicity 4)
S2 0.000 0.250 0.500 (multiplicity 4)
S3 0.246 0.000 0.998 (multiplicity 4)
S4 0.247 0.000 0.493 (multiplicity 4)

Number 1: E_form (uncorrected) -1877 meV/atom, total moment 0.0 μB/cell. Number 2: E_form (uncorrected) -1977 meV/atom, total moment 0.0 μB/cell. Number 3: E_form (uncorrected) -1864 meV/atom, total moment 0.0 μB/cell. Number 4: E_form (uncorrected) -1970 meV/atom, total moment 0.0 μB/cell. Number 5: E_form (uncorrected) -1935 meV/atom, total moment 0.0 μB/cell. Number 6: E_form (uncorrected) -1964 meV/atom, total moment 0.0 μB/cell.